Entry from the Alexandria database: crystalline HfCoSbO6 at its relaxed geometry (GGA+U).

Unit cell a=4.7574 b=4.7574 c=9.3099 alpha=90.00 beta=90.00 gamma=90.68
Fractional coordinates of all 18 atoms:
Hf1 0.0000 0.0000 0.0000
Hf2 0.5000 0.5000 0.4952
Co1 0.0000 0.0000 0.3285
Co2 0.5000 0.5000 0.8283
Sb1 0.0000 0.0000 0.6585
Sb2 0.5000 0.5000 0.1635
O1 0.1859 0.1859 0.4878
O2 0.1957 0.1957 0.1670
O3 0.2001 0.2001 0.8216
O4 0.2974 0.7026 0.6607
O5 0.3051 0.6949 0.3231
O6 0.3109 0.6891 0.9967
O7 0.6891 0.3109 0.9967
O8 0.6949 0.3051 0.3231
O9 0.7026 0.2974 0.6607
O10 0.7999 0.7999 0.8216
O11 0.8043 0.8043 0.1670
O12 0.8141 0.8141 0.4878

Computed properties:
Crystal system   orthorhombic
Symmetry   Cmm2, No. 35
Total magnetization   4.02 Bohr magnetons per cell
Electronic total energy   -7.338 eV per atom